1.
Density functional theory data (PBE-GGA) for crystalline LaGa9Rh2 at its relaxed geometry.

Calculated values
Crystal system: tetragonal
Fermi-level density of states (states/eV/atom): 0.329
SG: No. 141
Density (g/cm3): 7.65
E_form (eV/f.u.): -5.22
Distance to the lowest polymorph of the same formula (eV/atom): 0.0000

Lattice parameters (Å, degrees): 7.6534 8.3540 8.3540 77.89 62.74 62.74
With the nearest neighbours (Å) after each atom.
Atoms (fractional coordinates):
La: 0.2500 0.5000 0.5000  16 Ga 3.38-3.46
La: 0.5000 0.0000 0.0000  16 Ga 3.38-3.46
Ga: 0.7500 0.5000 0.5000  4 Rh 2.79, 8 Ga 2.89
Ga: 0.0000 0.0000 0.0000  4 Rh 2.79, 8 Ga 2.89
Ga: 0.0667 0.3266 0.9154  4 Ga 2.54-2.79, 2 Rh 2.59-2.75
Ga: 0.6067 0.0846 0.3266  4 Ga 2.54-2.79, 2 Rh 2.59-2.75
Ga: 0.0179 0.6734 0.9154  4 Ga 2.54-2.79, 2 Rh 2.59-2.75
Ga: 0.7321 0.5846 0.8266  4 Ga 2.54-2.79, 2 Rh 2.59-2.75
Ga: 0.4413 0.4154 0.8266  4 Ga 2.54-2.79, 2 Rh 2.59-2.75
Ga: 0.6833 0.5846 0.1734  4 Ga 2.54-2.79, 2 Rh 2.59-2.75
Ga: 0.0179 0.9154 0.6734  4 Ga 2.54-2.79, 2 Rh 2.59-2.75
Ga: 0.3087 0.6734 0.0846  4 Ga 2.54-2.79, 2 Rh 2.59-2.75
Ga: 0.0667 0.9154 0.3266  4 Ga 2.54-2.79, 2 Rh 2.59-2.75
Ga: 0.6067 0.3266 0.0846  4 Ga 2.54-2.79, 2 Rh 2.59-2.75
Ga: 0.1433 0.1734 0.4154  4 Ga 2.54-2.79, 2 Rh 2.59-2.75
Ga: 0.6833 0.1734 0.5846  4 Ga 2.54-2.79, 2 Rh 2.59-2.75
Ga: 0.1433 0.4154 0.1734  4 Ga 2.54-2.79, 2 Rh 2.59-2.75
Ga: 0.7321 0.8266 0.5846  4 Ga 2.54-2.79, 2 Rh 2.59-2.75
Ga: 0.3087 0.0846 0.6734  4 Ga 2.54-2.79, 2 Rh 2.59-2.75
Ga: 0.4413 0.8266 0.4154  4 Ga 2.54-2.79, 2 Rh 2.59-2.75
Rh: 0.3750 0.7500 0.7500  10 Ga 2.59-2.79
Rh: 0.8750 0.2500 0.2500  10 Ga 2.59-2.79
Rh: 0.8750 0.2500 0.7500  10 Ga 2.59-2.79
Rh: 0.8750 0.7500 0.2500  10 Ga 2.59-2.79

---

2.
Density functional theory data (PBE-GGA) for crystalline CaNbBO5 at its relaxed geometry.

Calculated values
Crystal system: monoclinic
Fermi-level density of states (states/eV/atom): 0.000
SG: No. 15
Density (g/cm3): 4.05
Formation energy from raw total energies (eV per formula unit): -21.28

Lattice parameters (Å, degrees): 5.3536 5.3536 7.2937 104.57 104.57 105.16
With the nearest neighbours (Å) after each atom.
Atoms (fractional coordinates):
B: 0.3167 0.6833 0.7500  4 O 1.51
B: 0.6833 0.3167 0.2500  4 O 1.51
Ca: 0.3425 0.6575 0.2500  5 O 2.22-2.46
Ca: 0.6575 0.3425 0.7500  5 O 2.22-2.46
O: 0.7527 0.6017 0.3951  1 B 1.51
O: 0.6017 0.7527 0.8951  1 B 1.51
O: 0.3108 0.8799 0.6336  1 B 1.51
O: 0.6892 0.1201 0.3664  1 B 1.51
O: 0.8799 0.3108 0.1336  1 B 1.51
O: 0.9180 0.0820 0.7500  2 Nb 1.95
O: 0.2473 0.3983 0.6049  1 B 1.51
O: 0.1201 0.6892 0.8664  1 B 1.51
O: 0.0820 0.9180 0.2500  2 Nb 1.95
O: 0.3983 0.2473 0.1049  1 B 1.51
Nb: 0.0000 0.0000 0.0000  6 O 1.95-2.05
Nb: 0.0000 0.0000 0.5000  6 O 1.95-2.05

---

3.
Density functional theory data (PBE-GGA) for crystalline Pm5Pr3Se8 at its relaxed geometry.

Calculated values
Crystal system: trigonal
Fermi-level density of states (states/eV/atom): 0.690
SG: No. 166
Density (g/cm3): 6.93
Formation energy from raw total energies (eV per formula unit): -29.32

Lattice parameters (Å, degrees): 8.4428 8.4428 8.4556 60.05 60.05 60.00
With the nearest neighbours (Å) after each atom.
Atoms (fractional coordinates):
Pm: 0.0000 0.5000 0.0000  6 Se 2.96
Pm: 0.5000 0.5000 0.5000  6 Se 2.99
Pm: 0.5000 0.5000 0.0000  6 Se 2.96
Pm: 0.5000 0.0000 0.0000  6 Se 2.96
Pm: 0.0000 0.0000 0.0000  6 Se 2.99
Pr: 0.0000 0.5000 0.5000  6 Se 3.01
Pr: 0.5000 0.0000 0.5000  6 Se 3.01
Pr: 0.0000 0.0000 0.5000  6 Se 3.01
Se: 0.2542 0.7500 0.2458  4 Pm 2.96-2.99, 2 Pr 3.01
Se: 0.7479 0.7479 0.7564  3 Pm 2.96, 3 Pr 3.01
Se: 0.2500 0.7458 0.7542  4 Pm 2.96-2.99, 2 Pr 3.01
Se: 0.7500 0.7500 0.2458  4 Pm 2.96-2.99, 2 Pr 3.01
Se: 0.2500 0.2500 0.7542  4 Pm 2.96-2.99, 2 Pr 3.01
Se: 0.2521 0.2521 0.2436  3 Pm 2.96, 3 Pr 3.01
Se: 0.7458 0.2500 0.7542  4 Pm 2.96-2.99, 2 Pr 3.01
Se: 0.7500 0.2542 0.2458  4 Pm 2.96-2.99, 2 Pr 3.01

---

4.
Density functional theory data (PBE-GGA) for crystalline NdHoSn at its relaxed geometry.

Calculated values
Crystal system: trigonal
Fermi-level density of states (states/eV/atom): 0.631
SG: No. 156
Density (g/cm3): 7.82
E_form (eV/f.u.): -1.12
Distance to the lowest polymorph of the same formula (eV/atom): 0.2421

Lattice parameters (Å, degrees): 3.9569 5.1482 5.1482 120.00 90.00 90.00
With the nearest neighbours (Å) after each atom.
Atoms (fractional coordinates):
Ho: 0.4181 0.3333 0.6667  3 Sn 3.07
Nd: 0.9702 0.0000 0.0000  3 Sn 3.29, 6 Ho 3.46-3.69
Sn: 0.6117 0.6667 0.3333  3 Ho 3.07, 3 Nd 3.29

---

5.
Density functional theory data (PBE-GGA) for crystalline Cs2Cd2Hg3 at its relaxed geometry.

Calculated values
Crystal system: monoclinic
Fermi-level density of states (states/eV/atom): 0.617
SG: No. 12
Density (g/cm3): 6.88
E_form (eV/f.u.): -1.01

Lattice parameters (Å, degrees): 4.8952 7.2724 8.9954 117.15 90.00 109.67
With the nearest neighbours (Å) after each atom.
Atoms (fractional coordinates):
Hg: 0.3569 0.7137 0.5713  3 Cd 3.11-3.23, 1 Hg 3.37
Hg: 0.5000 0.0000 0.0000  4 Cd 3.07, 2 Hg 3.37
Hg: 0.6431 0.2863 0.4287  3 Cd 3.11-3.23, 1 Hg 3.37
Cs: 0.1336 0.2672 0.7575  4 Cd 3.79-4.07, 7 Hg 3.89-4.24
Cs: 0.8664 0.7328 0.2425  4 Cd 3.79-4.07, 7 Hg 3.89-4.24
Cd: 0.8689 0.7378 0.7923  5 Hg 3.07-3.23
Cd: 0.1311 0.2622 0.2077  5 Hg 3.07-3.23

---

6.
Density functional theory data (PBE-GGA) for crystalline NdUN at its relaxed geometry.

Calculated values
Crystal system: tetragonal
Fermi-level density of states (states/eV/atom): 2.830
SG: No. 107
Density (g/cm3): 7.81
Distance to the lowest polymorph of the same formula (eV/atom): 1.1240
Formation energy from raw total energies (eV per formula unit): 1.68

Lattice parameters (Å, degrees): 4.6118 4.6118 5.1292 116.72 116.72 90.00
With the nearest neighbours (Å) after each atom.
Atoms (fractional coordinates):
Nd: 0.8867 0.8867 0.7735  1 N 2.24
U: 0.3598 0.3598 0.7196  1 N 1.93
N: 0.6034 0.6034 0.2069  1 U 1.93

---

7.
Density functional theory data (PBE-GGA) for crystalline Tl2ZnC2O6 at its relaxed geometry.

Calculated values
Crystal system: monoclinic
Fermi-level density of states (states/eV/atom): 0.000
SG: No. 12
Density (g/cm3): 5.84
Formation energy from raw total energies (eV per formula unit): -13.53

Lattice parameters (Å, degrees): 5.1476 5.1563 7.8919 108.47 90.00 119.94
With the nearest neighbours (Å) after each atom.
Atoms (fractional coordinates):
O: 0.7520 0.9406 0.6797  1 C 1.30
O: 0.1887 0.9406 0.6797  1 C 1.30
O: 0.8113 0.0594 0.3203  1 C 1.30
O: 0.2480 0.0594 0.3203  1 C 1.30
O: 0.2507 0.5014 0.3290  1 C 1.30
O: 0.7493 0.4986 0.6710  1 C 1.30
Zn: 0.5000 0.0000 0.5000  6 O 2.11-2.14
C: 0.1059 0.2118 0.3299  3 O 1.30
C: 0.8941 0.7882 0.6701  3 O 1.30
Tl: 0.7193 0.4386 0.1622  6 O 2.83-2.86
Tl: 0.2807 0.5614 0.8378  6 O 2.83-2.86

---

8.
Density functional theory data (PBE-GGA) for crystalline MgSiSn at its relaxed geometry.

Calculated values
Crystal system: monoclinic
Fermi-level density of states (states/eV/atom): 0.305
SG: No. 6
Density (g/cm3): 4.25
Distance to the lowest polymorph of the same formula (eV/atom): 0.0625
Formation energy from raw total energies (eV per formula unit): 0.23

Lattice parameters (Å, degrees): 3.8057 6.2576 5.9599 90.00 109.64 90.00
With the nearest neighbours (Å) after each atom.
Atoms (fractional coordinates):
Si: 0.4208 0.8057 0.0004  1 Si 2.43
Si: 0.4208 0.1943 0.0004  1 Si 2.43
Sn: 0.1054 0.2621 0.3563  2 Si 2.78-2.80, 1 Sn 2.98, 1 Mg 3.10
Sn: 0.1054 0.7379 0.3563  2 Si 2.78-2.80, 1 Sn 2.98, 1 Mg 3.10
Mg: 0.7654 0.0000 0.6930  4 Si 2.83-2.86, 2 Sn 3.10
Mg: 0.8297 0.5000 0.8234  4 Si 2.87-2.88, 2 Mg 3.21

---

9.
Density functional theory data (PBE-GGA) for crystalline Th2Co3P3 at its relaxed geometry.

Calculated values
Crystal system: tetragonal
Fermi-level density of states (states/eV/atom): 1.184
SG: No. 123
Density (g/cm3): 7.30
E_form (eV/f.u.): 6.62

Lattice parameters (Å, degrees): 2.9754 2.9754 18.8535 90.00 90.00 90.00
With the nearest neighbours (Å) after each atom.
Atoms (fractional coordinates):
Co: 0.5000 0.5000 0.5000  2 P 2.13
Co: 0.5000 0.5000 0.1107  1 P 2.09
Co: 0.5000 0.5000 0.8893  1 P 2.09
Th: 0.5000 0.5000 0.2400  1 Co 2.44
Th: 0.5000 0.5000 0.7600  1 Co 2.44
P: 0.5000 0.5000 0.6130  1 Co 2.13
P: 0.5000 0.5000 0.3870  1 Co 2.13
P: 0.5000 0.5000 0.0000  2 Co 2.09

---

10.
Density functional theory data (PBE-GGA) for crystalline PuHfNbN3 at its relaxed geometry.

Calculated values
Crystal system: monoclinic
Fermi-level density of states (states/eV/atom): 1.356
SG: No. 11
Density (g/cm3): 10.49
Formation energy from raw total energies (eV per formula unit): -6.85

Lattice parameters (Å, degrees): 3.1712 6.8165 8.1766 92.82 90.00 90.00
With the nearest neighbours (Å) after each atom.
Atoms (fractional coordinates):
Hf: 0.7500 0.3729 0.8657  5 N 2.12-2.21
Hf: 0.2500 0.6271 0.1343  5 N 2.12-2.21
N: 0.7500 0.4021 0.1245  3 Hf 2.12-2.20
N: 0.2500 0.5979 0.8755  3 Hf 2.12-2.20
N: 0.7500 0.8539 0.1411  2 Hf 2.21, 1 Nb 2.33
N: 0.2500 0.1461 0.8589  2 Hf 2.21, 1 Nb 2.33
N: 0.7500 0.1595 0.4040  3 Nb 2.11-2.15
N: 0.2500 0.8405 0.5960  3 Nb 2.11-2.15
Pu: 0.2500 0.1351 0.1742  7 N 2.46-2.58
Pu: 0.7500 0.8649 0.8258  7 N 2.46-2.58
Nb: 0.7500 0.8463 0.4261  4 N 2.11-2.33
Nb: 0.2500 0.1537 0.5739  4 N 2.11-2.33

---

11.
Density functional theory data (PBE-GGA) for crystalline LuPaGaCu at its relaxed geometry.

Calculated values
Crystal system: cubic
Fermi-level density of states (states/eV/atom): 1.467
SG: No. 216
Density (g/cm3): 10.60
E_form (eV/f.u.): -0.55

Lattice parameters (Å, degrees): 4.9245 4.9245 4.9245 60.00 60.00 60.00
With the nearest neighbours (Å) after each atom.
Atoms (fractional coordinates):
Cu: 0.2500 0.2500 0.2500  4 Pa 3.02, 4 Lu 3.02
Lu: 0.0000 0.0000 0.0000  4 Ga 3.02, 4 Cu 3.02
Pa: 0.5000 0.5000 0.5000  4 Cu 3.02, 4 Ga 3.02
Ga: 0.7500 0.7500 0.7500  4 Pa 3.02, 4 Lu 3.02

---

12.
Density functional theory data (PBE-GGA) for crystalline HfTiCuMo at its relaxed geometry.

Calculated values
Crystal system: tetragonal
Fermi-level density of states (states/eV/atom): 0.820
SG: No. 99
Density (g/cm3): 9.66
E_form (eV/f.u.): -0.57
Distance to the lowest polymorph of the same formula (eV/atom): 0.0000

Lattice parameters (Å, degrees): 3.2768 3.2768 6.1764 90.00 90.00 90.00
With the nearest neighbours (Å) after each atom.
Atoms (fractional coordinates):
Mo: 0.0000 0.0000 0.3410  4 Ti 2.70, 4 Hf 2.83, 1 Cu 2.92
Hf: 0.5000 0.5000 0.6039  4 Mo 2.83, 4 Cu 2.83, 2 Ti 3.02-3.16
Cu: 0.0000 0.0000 0.8678  4 Ti 2.78, 4 Hf 2.83, 1 Mo 2.92
Ti: 0.5000 0.5000 0.1153  4 Mo 2.70, 4 Cu 2.78, 1 Hf 3.02

---

- Number 11 is which compound?
  LuPaGaCu